This record from Alexandria via LeMat-Bulk describes an optimized crystal structure of TcNiAs2. The functional is PBEsol.

Cell and atoms, written as CIF:
```
data_TcNiAs2
_space_group_name_H-M_alt 'F m -3 m'
_space_group_IT_number 225
_space_group_name_Hall '-F 4 2 3'
_cell_length_a 6.062
_cell_length_b 6.062
_cell_length_c 6.062
_cell_angle_alpha 90.00
_cell_angle_beta 90.00
_cell_angle_gamma 90.00
loop_
_atom_site_label
_atom_site_type_symbol
_atom_site_fract_x
_atom_site_fract_y
_atom_site_fract_z
Tc1 Tc 0.000 0.000 0.000
Ni1 Ni 0.000 0.000 0.500
As1 As 0.250 0.250 0.250
```

Summary:
DFT total energy (eV/atom): -6.817
D(E_F) (states/eV per atom): 1.012
Polymorph energy (0 for the lowest one) (kJ/mol of atoms): 0.0
Energy of formation (kJ/mol of atoms): 9